Record 1
3
Lattice="6.8960 0.0051 -0.0033 6.1873 2.5207 0.0319 0.7087 -0.9924 2.3118" Properties=species:S:1:pos:R:3 comment="LiCuRh (PBE, relaxed)" ef_ev_per_fu=0.0 e_above_lowest_polymorph_mev_per_atom=46 total_magnetization_mub_per_cell=0.48 sg="Fmm2, No. 42" pbc="T T T"
Li 4.8252 0.1780 1.5523
Cu 13.0825 2.5257 0.0287
Rh 8.9675 1.3557 0.7880

***

Record 2
4
Lattice="8.1859 -0.0010 -0.0006 7.2986 3.7067 -0.0006 7.2986 1.7467 3.2694" Properties=species:S:1:pos:R:3 comment="LiLaBr2 (PBE, relaxed)" e_above_lowest_polymorph_mev_per_atom=0 total_magnetization_mub_per_cell=0.00 sg="R-3m, No. 166" pbc="T T T"
Br 0.3591 0.0859 0.0515
Br 11.0325 2.6403 1.5826
La 5.6958 1.3631 0.8170
Li 17.0873 4.0893 2.4511

***

Record 3
4
Lattice="-1.3663 3.2307 -0.6206 -1.9320 -1.3319 -2.6801 -5.5412 -1.4387 4.7094" Properties=species:S:1:pos:R:3 comment="Tb2GaAu (PBE, relaxed)" ef_ev_per_fu=-2.8 total_magnetization_mub_per_cell=0.00 sg="P4/mmm, No. 123" pbc="T T T"
Au -4.4197 0.2300 0.7044
Tb -1.3936 -0.3618 1.1844
Tb -4.1476 -1.0769 3.5250
Ga -1.6491 0.9494 -1.6503

***

Record 4
12
Lattice="-0.8148 2.4615 -3.0807 -7.7020 0.5355 2.4650 4.3478 5.3758 5.7769" Properties=species:S:1:pos:R:3 comment="NaCa3Sm2S6 (PBE, relaxed)" total_magnetization_mub_per_cell=0.00 final_energy_ry_per_atom=-0.40093 sg="C2/m, No. 12" pbc="T T T"
S -2.1975 8.2070 4.5073
S -3.5726 3.7678 1.3239
S -4.4268 4.8407 5.0386
S -0.5964 4.6051 3.8372
S 0.2578 3.5321 0.1225
S -1.9715 0.1658 0.6539
Ca 0.9884 5.7765 1.7226
Ca -4.2584 1.4985 -0.3078
Ca -5.1574 2.5963 3.4386
Sm -1.2456 2.3347 2.1949
Sm -2.9234 6.0382 2.9663
Na -0.4074 1.2308 -1.5403

***

Record 5
12
Lattice="4.2359 0.0000 -0.0005 0.0000 12.0185 0.0000 -3.8359 0.0000 5.9430" Properties=species:S:1:pos:R:3 comment="AgSCl (PBE, relaxed)" e_above_lowest_polymorph_mev_per_atom=22 total_magnetization_mub_per_cell=0.00 sg="C2/m, No. 12" pbc="T T T"
S 0.7801 0.0000 0.5891
S -1.1379 6.0093 3.5606
S -0.3801 0.0000 5.3535
S 1.5378 6.0093 2.3820
Cl -1.9180 9.6414 2.9715
Cl 0.0000 8.3864 0.0000
Cl 0.0000 3.6322 0.0000
Cl -1.9180 2.3771 2.9715
Ag 2.1179 9.9047 -0.0002
Ag 0.2000 3.8954 2.9713
Ag 0.2000 8.1231 2.9713
Ag 2.1179 2.1138 -0.0002

***

Record 6
16
Lattice="5.8569 0.0000 0.0000 2.9284 7.3128 0.0000 2.9284 0.0000 12.8316" Properties=species:S:1:pos:R:3 comment="Cs2DyBS4 (PBE, relaxed)" total_magnetization_mub_per_cell=0.00 final_energy_ry_per_atom=-0.35632 sg="Fddd, No. 70" pbc="T T T"
Dy 0.0000 0.0000 0.0000
Dy 7.3211 3.6564 6.4158
Cs 7.3211 3.6564 10.9573
Cs 2.9284 0.0000 8.2900
Cs 7.3211 3.6564 1.8743
Cs 5.8569 0.0000 4.5415
B 4.3927 3.6564 6.4158
B 2.9284 0.0000 0.0000
S 3.9708 1.2104 1.1985
S 3.3503 2.4460 5.2173
S 5.4351 2.4460 7.6143
S 9.8277 6.1024 11.6331
S 4.8145 1.2104 11.6331
S 9.2071 4.8668 7.6143
S 5.4351 4.8668 5.2173
S 4.8145 6.1024 1.1985

***

Record 7
4
Lattice="-1.6428 2.2773 -4.8012 3.0967 -1.0010 -4.5105 -3.1904 -2.0255 4.0811" Properties=species:S:1:pos:R:3 comment="CaOs2Se (PBE, relaxed)" total_magnetization_mub_per_cell=0.00 final_energy_ry_per_atom=-0.47917 sg="Imm2, No. 44" pbc="T T T"
Os 0.0478 0.0420 -0.3064
Os 0.3269 -1.1851 -2.6088
Se 0.6818 0.5986 -4.3668
Ca -2.0662 0.4336 -2.6045

***

Record 8
5
Lattice="7.5366 0.0000 0.0000 0.0000 4.9227 0.0000 0.0000 0.0000 7.5366" Properties=species:S:1:pos:R:3 comment="Cs2SrNiPb (PBE, relaxed)" ef_ev_per_fu=3.7 total_magnetization_mub_per_cell=0.47 sg="P4/mmm, No. 123" pbc="T T T"
Cs 0.0000 0.0000 3.7683
Cs 3.7683 0.0000 0.0000
Ni 0.0000 2.4613 0.0000
Pb 3.7683 2.4613 3.7683
Sr 0.0000 0.0000 0.0000